A plane-wave DFT calculation with SCAN was carried out for a crystal of Ta5Os3 relaxed with PBEsol.

Values from the calculation:
Total DFT energy (no corrections): -68.9983 eV/atom
Magnetization: 0.00 μB per cell
Formation enthalpy at 0 K: -0.429 eV/atom

abc: 6.3571 8.9840 4.4919
angles: 90.00 90.00 90.00
Last column: nearest neighbours and their distance in Å.
Space group Cmmm (No. 65)
One atom of each set of equivalent atoms:
Ta: 0.0000 0.0000 0.0000 x2  8 Ta 2.75
Ta: 0.2500 0.0000 0.5000 x4  6 Os 2.73-2.78, 2 Ta 2.75
Ta: 0.2500 0.2500 0.0000 x4  2 Ta 2.75, 6 Os 2.75
Os: 0.0000 0.2532 0.5000 x4  8 Ta 2.73-2.78
Os: 0.0000 0.5000 0.0000 x2  8 Ta 2.75